A plane-wave DFT calculation with PBE was carried out for a relaxed structure of LaYbCu2.

The value obtained for the formation energy is -0.23 eV/atom. The density of states at the Fermi level is 0.77 states/eV/atom. Its size of the total moment is 0.00 μB per formula unit. As for the density: 8.121 Mg/m³.

Cell: 5.027 5.027 5.027 Å, 59.99 59.99 59.99°
Positions (direct):
Yb 0.250 0.250 0.250
Cu 0.500 0.500 0.500
Cu 0.000 0.000 0.000
La 0.750 0.750 0.750